DFT (GGA-PBE) results for an optimized crystal structure of ZnPd8Au5.

Structure (extended XYZ):
```
14
Lattice="6.785 -0.027 0.047 -2.321 6.375 -0.047 -2.142 -3.237 5.565" Properties=species:S:1:pos:R:3 pbc="T T T"
Au 2.601 0.936 0.288
Au 5.234 2.179 0.718
Zn -1.071 0.753 4.162
Au 3.412 4.322 1.586
Pd -1.880 2.945 3.342
Pd -1.853 -1.831 4.291
Pd 4.262 0.123 2.296
Au 2.322 1.994 3.020
Pd 0.290 0.412 1.852
Pd 1.266 0.050 4.584
Pd 0.517 2.770 5.007
Au 2.321 -1.632 2.806
Pd -3.238 1.661 5.497
Pd 0.995 3.103 0.907
```

Computed properties:
Formation energy from the elements = 0.1 eV/f.u.
DOS(E_F) = 9.89 states/eV/cell
Crystal system = tetragonal
E_tot = -59.14 eV per cell